ScNiSbPd | PBE | relaxed

**Total energy**: -5.957 eV/atom
**Energy relative to the lowest polymorph listed for this composition**: 0.000 eV/f.u.
**Magnetic moment**: 0.001 μB per formula unit

abc: 4.5610 4.5610 4.5610
angles: 60.00 60.00 60.00
Closest atoms and distances in Å follow each position.
Fractional positions:
Ni: 0.7500 0.7500 0.7500  4 Sb 2.79, 4 Sc 2.79
Pd: 0.2500 0.2500 0.2500  4 Sb 2.79, 4 Sc 2.79
Sb: 0.0000 0.0000 0.0000  4 Ni 2.79, 4 Pd 2.79
Sc: 0.5000 0.5000 0.5000  4 Ni 2.79, 4 Pd 2.79

ScNiSbPd | PBE | relaxed

**Total energy**: -5.777 eV/atom
**Energy relative to the lowest polymorph listed for this composition**: 0.719 eV/f.u.
**Magnetic moment**: 0.001 μB per formula unit

abc: 4.5976 4.5976 4.5976
angles: 60.00 60.00 60.00
Closest atoms and distances in Å follow each position.
Fractional positions:
Ni: 0.7500 0.7500 0.7500  4 Pd 2.82, 4 Sb 2.82
Pd: 0.5000 0.5000 0.5000  4 Sc 2.82, 4 Ni 2.82
Sb: 0.0000 0.0000 0.0000  4 Sc 2.82, 4 Ni 2.82
Sc: 0.2500 0.2500 0.2500  4 Sb 2.82, 4 Pd 2.82

TaNiSbPd | PBE | relaxed

**Total energy**: -6.661 eV/atom
**Energy relative to the lowest polymorph listed for this composition**: 0.130 eV/f.u.
**Magnetic moment**: 0.007 μB per formula unit

abc: 4.5313 4.5313 4.5313
angles: 60.00 60.00 60.00
Closest atoms and distances in Å follow each position.
Fractional positions:
Ni: 0.7500 0.7500 0.7500  4 Ta 2.77, 4 Sb 2.77
Pd: 0.2500 0.2500 0.2500  4 Sb 2.77, 4 Ta 2.77
Sb: 0.0000 0.0000 0.0000  4 Ni 2.77, 4 Pd 2.77
Ta: 0.5000 0.5000 0.5000  4 Ni 2.77, 4 Pd 2.77

TaNiSbPd | PBE | relaxed

**Total energy**: -6.694 eV/atom
**Energy relative to the lowest polymorph listed for this composition**: 0.000 eV/f.u.
**Magnetic moment**: 0.005 μB per formula unit

abc: 4.5432 4.5432 4.5432
angles: 60.00 60.00 60.00
Closest atoms and distances in Å follow each position.
Fractional positions:
Ni: 0.7500 0.7500 0.7500  4 Sb 2.78, 4 Pd 2.78
Pd: 0.5000 0.5000 0.5000  4 Ta 2.78, 4 Ni 2.78
Sb: 0.0000 0.0000 0.0000  4 Ni 2.78, 4 Ta 2.78
Ta: 0.2500 0.2500 0.2500  4 Pd 2.78, 4 Sb 2.78